Record 1
Below is Ho2ErTc9 after structural relaxation, with properties calculated at the GGA-PBE level.

a = 5.3322 Å, b = 5.3322 Å, c = 9.2631 Å
α = 73.27°, β = 73.27°, γ = 60.00°
With the nearest neighbours (Å) after each atom.
Positions (direct):
1 Ho 0.8563 0.8563 0.4310  12 Tc 3.10-3.16, 3 Ho 3.31
2 Ho 0.1437 0.1437 0.5690  12 Tc 3.10-3.16, 3 Ho 3.31
3 Er 0.0000 0.0000 0.0000  18 Tc 3.08-3.45
4 Tc 0.6624 0.6624 0.0129  6 Tc 2.61-2.74
5 Tc 0.3376 0.3376 0.9871  6 Tc 2.61-2.74
6 Tc 0.5000 0.5000 0.5000  6 Tc 2.70
7 Tc 0.4117 0.4117 0.2502  7 Tc 2.59-2.74
8 Tc 0.9264 0.4117 0.2502  7 Tc 2.59-2.74
9 Tc 0.4117 0.9264 0.2502  7 Tc 2.59-2.74
10 Tc 0.5883 0.5883 0.7498  7 Tc 2.59-2.74
11 Tc 0.5883 0.0736 0.7498  7 Tc 2.59-2.74
12 Tc 0.0736 0.5883 0.7498  7 Tc 2.59-2.74

## Properties
ΔH_f (0 K)   -0.067 eV/atom
Total magnetic moment   0.00 μB per cell
N(E_F)   13.427 states/eV/f.u.

---

Record 2
Below is ZrMnTe after structural relaxation, with properties calculated at the GGA-PBE level.

a = 3.7098 Å, b = 3.7098 Å, c = 11.8407 Å
α = 80.99°, β = 80.99°, γ = 60.00°
With the nearest neighbours (Å) after each atom.
Positions (direct):
1 Zr 0.5567 0.5567 0.3300  6 Mn 2.81-3.03, 3 Te 2.94
2 Zr 0.4433 0.4433 0.6700  6 Mn 2.81-3.03, 3 Te 2.94
3 Te 0.2810 0.2810 0.1571  3 Zr 2.94
4 Te 0.7190 0.7190 0.8429  3 Zr 2.94
5 Mn 0.8378 0.8378 0.4865  3 Mn 2.16
6 Mn 0.1622 0.1622 0.5135  3 Mn 2.16

## Properties
Total magnetic moment   0.00 μB per cell
Raw formation energy   -0.397 eV per atom
N(E_F)   1.440 states/eV/f.u.

---

Record 3
Below is Ac2SiHg after structural relaxation, with properties calculated at the GGA-PBE level.

a = 4.0039 Å, b = 4.0039 Å, c = 7.6604 Å
α = 90.00°, β = 90.00°, γ = 90.00°
With the nearest neighbours (Å) after each atom.
Positions (direct):
1 Ac 0.0000 0.0000 0.7778  4 Si 3.30, 1 Ac 3.40, 4 Hg 3.54
2 Ac 0.0000 0.0000 0.2222  4 Si 3.30, 1 Ac 3.40, 4 Hg 3.54
3 Si 0.5000 0.5000 0.0000  8 Ac 3.30
4 Hg 0.5000 0.5000 0.5000  8 Ac 3.54, 2 Si 3.83

## Properties
Total magnetic moment   0.00 μB per cell
Raw formation energy   -0.440 eV per atom
N(E_F)   2.973 states/eV/f.u.
Distance to the lowest polymorph of the same formula   11 kJ/mol of formula units

---

Record 4
Below is RbLaZnCl6 after structural relaxation, with properties calculated at the GGA-PBE level.

a = 6.9663 Å, b = 6.9663 Å, c = 14.4226 Å
α = 90.00°, β = 90.00°, γ = 120.00°
With the nearest neighbours (Å) after each atom.
Positions (direct):
1 Rb 0.0000 0.0000 0.0000  6 Cl 3.36
2 Rb 0.0000 0.0000 0.5000  6 Cl 3.36
3 La 0.3333 0.6667 0.2500  6 Cl 2.80
4 La 0.6667 0.3333 0.7500  6 Cl 2.80
5 Zn 0.6667 0.3333 0.2500  6 Cl 2.51
6 Zn 0.3333 0.6667 0.7500  6 Cl 2.51
7 Cl 0.6433 0.6115 0.1469  1 Zn 2.51, 1 La 2.80
8 Cl 0.9682 0.3567 0.1469  1 Zn 2.51, 1 La 2.80
9 Cl 0.3567 0.9682 0.6469  1 Zn 2.51, 1 La 2.80
10 Cl 0.0318 0.6433 0.8531  1 Zn 2.51, 1 La 2.80
11 Cl 0.3885 0.3567 0.3531  1 Zn 2.51, 1 La 2.80
12 Cl 0.9682 0.6115 0.3531  1 Zn 2.51, 1 La 2.80
13 Cl 0.6115 0.9682 0.8531  1 Zn 2.51, 1 La 2.80
14 Cl 0.6433 0.0318 0.3531  1 Zn 2.51, 1 La 2.80
15 Cl 0.0318 0.3885 0.6469  1 Zn 2.51, 1 La 2.80
16 Cl 0.3885 0.0318 0.1469  1 Zn 2.51, 1 La 2.80
17 Cl 0.6115 0.6433 0.6469  1 Zn 2.51, 1 La 2.80
18 Cl 0.3567 0.3885 0.8531  1 Zn 2.51, 1 La 2.80

## Properties
Total magnetic moment   0.00 μB per cell
Raw formation energy   -1.856 eV per atom
N(E_F)   0.000 states/eV/f.u.